No. 1
DFT (PBE) results for a relaxed structure of Y2Sc4Se9.

## Properties
The symmetry is P-3c1 (165).

a = 6.9227 Å, b = 6.9222 Å, c = 18.8662 Å
α = 90.00°, β = 90.00°, γ = 60.00°
Atoms (fractional coordinates):
Y  0.9998  0.9999  0.3485
Y  0.9998  0.0000  0.1515
Y  0.0002  0.0001  0.6515
Y  0.0002  0.0000  0.8485
Sc  0.3335  0.3333  0.9905
Sc  0.3332  0.3334  0.4905
Sc  0.6665  0.6667  0.0095
Sc  0.3331  0.3333  0.1780
Sc  0.6668  0.6666  0.5095
Sc  0.6664  0.6666  0.3220
Sc  0.3336  0.3334  0.6780
Sc  0.6669  0.6667  0.8220
Se  0.0002  0.3223  0.7500
Se  0.3225  0.6778  0.7500
Se  0.6781  0.0000  0.7500
Se  0.9998  0.6777  0.2500
Se  0.6775  0.3222  0.2500
Se  0.3219  0.0000  0.2500
Se  0.6477  0.9799  0.4171
Se  0.9798  0.3722  0.4171
Se  0.3721  0.6481  0.4172
Se  0.6276  0.0200  0.0829
Se  0.3520  0.6278  0.0828
Se  0.0201  0.3519  0.0828
Se  0.3523  0.0201  0.5829
Se  0.0202  0.6278  0.5829
Se  0.6279  0.3519  0.5828
Se  0.3724  0.9800  0.9171
Se  0.6480  0.3722  0.9172
Se  0.9799  0.6481  0.9172

=====

No. 2
DFT (PBE) results for a relaxed structure of Y3ScSe4.

## Properties
The symmetry is Cmmm (65).

a = 4.0059 Å, b = 7.0162 Å, c = 7.0162 Å
α = 109.08°, β = 90.00°, γ = 90.00°
Atoms (fractional coordinates):
Y  0.0000  0.0000  0.5000
Y  0.5000  0.5000  0.5000
Y  0.0000  0.5000  0.0000
Sc  0.5000  0.0000  0.0000
Se  0.0000  0.2393  0.2393
Se  0.5000  0.7554  0.2446
Se  0.0000  0.7607  0.7607
Se  0.5000  0.2446  0.7554

=====

Going through the records in order, we get calculated total energy values of -6.361, -6.668 eV/atom.
Going through the records in order, we get total magnetization values of 0.0, 0.0 μB/cell.